Na8CoO6 | GGA-PBEsol | relaxed

POSCAR file:
```
Na8CoO6
1.0
6.274 0.000 0.000
-3.137 5.433 0.000
0.000 0.000 12.630
Na Co O
16 2 12
direct
0.000 0.294 0.000 Na
0.000 0.389 0.648 Na
0.000 0.611 0.148 Na
0.000 0.706 0.500 Na
0.294 0.000 0.000 Na
0.294 0.294 0.500 Na
0.333 0.667 0.358 Na
0.333 0.667 0.858 Na
0.389 0.000 0.648 Na
0.389 0.389 0.148 Na
0.611 0.000 0.148 Na
0.611 0.611 0.648 Na
0.667 0.333 0.358 Na
0.667 0.333 0.858 Na
0.706 0.000 0.500 Na
0.706 0.706 0.000 Na
0.000 0.000 0.273 Co
0.000 0.000 0.773 Co
0.000 0.000 0.126 O
0.000 0.000 0.626 O
0.000 0.274 0.818 O
0.000 0.726 0.318 O
0.274 0.000 0.818 O
0.274 0.274 0.318 O
0.333 0.667 0.049 O
0.333 0.667 0.549 O
0.667 0.333 0.049 O
0.667 0.333 0.549 O
0.726 0.000 0.318 O
0.726 0.726 0.818 O
```

Summary:
Crystal system: hexagonal
Formation energy from raw total energies: -1231.4 meV per atom
Final energy: -68.9 eV per formula unit